[1]
meta-GGA SCAN OsRhPb2, PBEsol geometry; spin magnetization = 0.0 μB per formula unit; distance to the lowest polymorph of the same formula = 15 meV per atom; calculated formation energy = 0.703 eV/atom
1.0
-2.269 2.269 3.542
2.269 -2.269 3.542
2.269 2.269 -3.542
Os Rh Pb
1 1 2
Cartesian
0.000 0.000 0.000 Os
0.000 0.000 3.542 Rh
2.269 0.000 1.771 Pb
0.000 2.269 1.771 Pb



[2]
meta-GGA SCAN NaMg3Pt, PBEsol geometry; spin magnetization = 0.0 μB per formula unit; distance to the lowest polymorph of the same formula = 0 meV per atom; calculated formation energy = -0.442 eV/atom
1.0
5.049 0.000 0.000
0.000 5.049 0.000
0.000 0.000 5.049
Na Mg Pt
1 3 1
Cartesian
0.000 0.000 0.000 Na
0.000 2.525 2.525 Mg
2.525 0.000 2.525 Mg
2.525 2.525 0.000 Mg
2.525 2.525 2.525 Pt



[3]
meta-GGA SCAN Na2InO, PBEsol geometry; spin magnetization = 0.0 μB per formula unit; distance to the lowest polymorph of the same formula = 0 meV per atom
1.0
-4.130 4.130 2.432
4.130 -4.130 2.432
4.130 4.130 -2.432
Na In O
4 2 2
Cartesian
-0.931 2.065 0.608 Na
2.065 3.199 1.824 Na
0.931 6.194 0.608 Na
-2.065 5.060 1.824 Na
4.130 0.000 1.216 In
0.000 0.000 2.432 In
0.000 0.000 0.000 O
0.000 4.130 1.216 O



[4]
meta-GGA SCAN Ir2WSe, PBEsol geometry; spin magnetization = 1.0 μB per formula unit; distance to the lowest polymorph of the same formula = 318 meV per atom
1.0
3.878 0.000 0.000
0.000 3.878 0.000
0.000 0.000 4.008
Ir W Se
2 1 1
Cartesian
0.000 1.939 0.000 Ir
1.939 0.000 0.000 Ir
0.000 0.000 2.004 W
1.939 1.939 2.004 Se



[5]
meta-GGA SCAN Cs3TeN, PBEsol geometry; spin magnetization = 2.0 μB per formula unit; raw total energy = -32.229 eV/atom
1.0
5.815 0.000 0.000
0.000 5.815 0.000
0.000 0.000 5.815
Cs Te N
3 1 1
Cartesian
0.000 0.000 2.907 Cs
0.000 2.907 0.000 Cs
2.907 0.000 0.000 Cs
2.907 2.907 2.907 Te
0.000 0.000 0.000 N



[6]
meta-GGA SCAN LiCo2Re, PBEsol geometry; spin magnetization = 0.0 μB per formula unit; distance to the lowest polymorph of the same formula = 156 meV per atom; calculated formation energy = 0.305 eV/atom
1.0
2.680 -3.341 0.000
2.680 3.341 0.000
0.000 0.000 2.573
Li Co Re
1 2 1
Cartesian
0.000 0.000 0.000 Li
1.340 1.671 1.286 Co
1.340 -1.671 1.286 Co
2.680 0.000 0.000 Re



[7]
meta-GGA SCAN MoI2O2, PBEsol geometry; spin magnetization = 4.4 μB per formula unit; raw total energy = -23.595 eV/atom
1.0
4.054 0.000 0.000
0.000 4.054 0.000
0.000 0.000 7.340
Mo I O
1 2 2
Cartesian
0.000 0.000 0.000 Mo
2.027 2.027 0.000 I
2.027 2.027 3.670 I
0.000 2.027 3.670 O
2.027 0.000 3.670 O



[8]
meta-GGA SCAN Zn2FeCu, PBEsol geometry; spin magnetization = 2.5 μB per formula unit; calculated formation energy = -0.013 eV/atom
1.0
2.266 -1.284 0.000
2.266 1.284 0.000
-1.389 0.000 8.384
Zn Fe Cu
2 1 1
Cartesian
0.785 0.000 2.086 Zn
2.358 0.000 6.298 Zn
2.266 0.000 0.000 Fe
-0.695 0.000 4.192 Cu



Computed V, in the same sequence as the records: 73; 129; 166; 60; 197; 46; 121; 49 Å³/cell.